La4HPb2: optimized geometry, PBE.

Cell and atoms, written as POSCAR:
```
La4HPb2
1.0
6.604 0.000 0.000
0.000 6.854 0.000
-3.270 0.000 9.350
La H Pb
8 2 4
Cartesian
1.006 1.713 0.522
-0.696 3.446 6.613
-0.696 6.835 6.613
0.754 5.140 3.257
2.580 1.713 6.093
4.031 0.019 2.738
4.031 3.408 2.738
2.328 5.140 8.828
-2.064 1.713 7.479
5.399 5.140 1.871
0.294 1.713 3.729
2.211 5.140 0.306
1.124 1.713 9.044
3.041 5.140 5.621
```

Summary:
Distance to the lowest polymorph of the same formula (eV/atom): 0.012